Crystalline Zn3Te at its relaxed geometry, computed with PBE. Values from VASP.

Cell and atoms, written as Quantum ESPRESSO input:
```
&SYSTEM
  ibrav = 0, nat = 4, ntyp = 2
/
ATOMIC_SPECIES
Te 127.60 Te.upf
Zn 65.41 Zn.upf
CELL_PARAMETERS angstrom
5.184 0.045 0.017
0.919 5.102 -0.017
-2.409 -3.335 3.155
ATOMIC_POSITIONS angstrom
Te 1.388 -1.645 1.586
Zn 4.703 3.967 0.000
Zn -0.745 0.884 1.569
Zn 1.400 1.181 0.000
```

Output
formation energy without anion corrections	155	meV per atom
V	83	Å³/cell
space-group type	No. 71
energy above the lowest structure with this stoichiometry	0.178	eV per atom
DFT total energy	-1.586	eV per atom

Crystalline Zn3Te at its relaxed geometry, computed with PBE. Values from VASP.

Cell and atoms, written as Quantum ESPRESSO input:
```
&SYSTEM
  ibrav = 0, nat = 8, ntyp = 2
/
ATOMIC_SPECIES
Te 127.60 Te.upf
Zn 65.41 Zn.upf
CELL_PARAMETERS angstrom
5.496 0.000 0.000
0.000 5.496 0.000
0.000 0.000 5.496
ATOMIC_POSITIONS angstrom
Te 2.748 2.748 2.748
Zn 2.748 0.000 1.374
Te 0.000 0.000 0.000
Zn 0.000 4.122 2.748
Zn 2.748 0.000 4.122
Zn 0.000 1.374 2.748
Zn 4.122 2.748 0.000
Zn 1.374 2.748 0.000
```

Output
formation energy without anion corrections	248	meV per atom
V	166	Å³/cell
space-group type	No. 223
energy above the lowest structure with this stoichiometry	0.272	eV per atom
DFT total energy	-1.492	eV per atom

Crystalline Zn3Te at its relaxed geometry, computed with PBE. Values from VASP.

Cell and atoms, written as Quantum ESPRESSO input:
```
&SYSTEM
  ibrav = 0, nat = 16, ntyp = 2
/
ATOMIC_SPECIES
Zn 65.41 Zn.upf
Te 127.60 Te.upf
CELL_PARAMETERS angstrom
9.249 0.000 0.000
0.000 4.608 0.000
0.000 0.000 7.983
ATOMIC_POSITIONS angstrom
Zn 6.021 1.711 4.051
Zn 2.970 1.392 5.987
Te 8.587 2.273 5.987
Zn 1.396 0.593 0.060
Te 3.962 0.031 1.996
Zn 1.655 3.696 5.987
Zn 6.021 1.711 7.924
Zn 7.853 4.015 4.051
Te 5.287 4.577 5.987
Te 0.662 2.334 1.996
Zn 7.594 0.912 1.996
Zn 3.228 2.897 0.060
Zn 1.396 0.593 3.932
Zn 6.279 3.216 1.996
Zn 3.228 2.897 3.932
Zn 7.853 4.015 7.924
```

Output
formation energy without anion corrections	-24	meV per atom
V	340	Å³/cell
space-group type	No. 62
energy above the lowest structure with this stoichiometry	0.000	eV per atom
DFT total energy	-1.764	eV per atom

Crystalline Zn3Te at its relaxed geometry, computed with PBE. Values from VASP.

Cell and atoms, written as Quantum ESPRESSO input:
```
&SYSTEM
  ibrav = 0, nat = 4, ntyp = 2
/
ATOMIC_SPECIES
Te 127.60 Te.upf
Zn 65.41 Zn.upf
CELL_PARAMETERS angstrom
-3.494 -2.887 -1.901
1.141 -4.497 -1.621
-1.527 -3.964 2.472
ATOMIC_POSITIONS angstrom
Te 0.000 0.000 0.000
Zn -0.970 -2.837 -0.263
Zn -1.939 -5.674 -0.525
Zn -2.909 -8.511 -0.788
```

Output
formation energy without anion corrections	210	meV per atom
V	84	Å³/cell
space-group type	No. 225
energy above the lowest structure with this stoichiometry	0.234	eV per atom
DFT total energy	-1.531	eV per atom

Crystalline ZnTe5 at its relaxed geometry, computed with PBE. Values from VASP.

Cell and atoms, written as Quantum ESPRESSO input:
```
&SYSTEM
  ibrav = 0, nat = 6, ntyp = 2
/
ATOMIC_SPECIES
Zn 65.41 Zn.upf
Te 127.60 Te.upf
CELL_PARAMETERS angstrom
4.021 -6.964 0.000
4.021 6.964 0.000
0.000 0.000 4.103
ATOMIC_POSITIONS angstrom
Zn 0.000 0.000 0.000
Te 2.010 -3.482 2.052
Te 2.010 3.482 2.052
Te 4.021 0.000 2.052
Te 4.021 -2.321 0.000
Te 4.021 2.321 0.000
```

Output
formation energy without anion corrections	336	meV per atom
V	230	Å³/cell
space-group type	No. 191
energy above the lowest structure with this stoichiometry	0.403	eV per atom
DFT total energy	-2.495	eV per atom

Crystalline ZnTe4 at its relaxed geometry, computed with PBE. Values from VASP.

Cell and atoms, written as Quantum ESPRESSO input:
```
&SYSTEM
  ibrav = 0, nat = 5, ntyp = 2
/
ATOMIC_SPECIES
Zn 65.41 Zn.upf
Te 127.60 Te.upf
CELL_PARAMETERS angstrom
2.102 -3.640 0.000
2.102 3.640 0.000
0.000 0.000 10.733
ATOMIC_POSITIONS angstrom
Zn 0.000 0.000 0.000
Te 2.102 -1.213 1.475
Te 2.102 -1.213 4.275
Te 2.102 1.213 6.458
Te 2.102 1.213 9.258
```

Output
formation energy without anion corrections	27	meV per atom
V	164	Å³/cell
space-group type	No. 164
energy above the lowest structure with this stoichiometry	0.000	eV per atom
DFT total energy	-2.741	eV per atom